Material: CaMg2In2
Method: DFT, PBE
State: optimized geometry

Computed properties:
SG: P4/mbm, No. 127
E_form, eV per atom: -0.16
Relative energy among the computed polymorphs, meV/atom: 78
Size of the total moment, μB per cell: 0.0

```
CaMg2In2
1.0
8.5719 0.0000 0.0000
0.0000 8.5719 0.0000
0.0000 0.0000 3.5866
Ca Mg In
2 4 4
Direct
0.0000 0.0000 0.0000
0.5000 0.5000 0.0000
0.1594 0.6594 0.5000
0.6594 0.8406 0.5000
0.8406 0.3406 0.5000
0.3406 0.1594 0.5000
0.3634 0.8634 0.0000
0.8634 0.6366 0.0000
0.6366 0.1366 0.0000
0.1366 0.3634 0.0000
```